No. 1
{
  "formula": "Y2TiW",
  "functional": "PBE",
  "state": "relaxed",
  "dos_at_fermi_per_ev_cell": 6.33,
  "ef_ev_per_atom": 0.99,
  "de_polymorph_ev_per_atom": 0.385,
  "cell": [[-0.224, 6.571, -4.450], [-6.720, 2.210, 3.603], [-1.891, 5.840, 1.637]],
  "species": ["Y", "Y", "Y", "Y", "W", "W", "Ti", "Ti"],
  "fractional_positions": [[0.875, 0.883, 0.750], [0.117, 0.625, 0.250], [0.633, 0.125, 0.250], [0.375, 0.367, 0.750], [0.000, 0.000, 0.000], [0.750, 0.250, 0.500], [0.250, 0.750, 0.500], [0.500, 0.500, 0.000]]
}

No. 2
{
  "formula": "YTiW3",
  "functional": "PBE",
  "state": "relaxed",
  "dos_at_fermi_per_ev_cell": 11.22,
  "ef_ev_per_atom": 2.85,
  "de_polymorph_ev_per_atom": 1.443,
  "cell": [[-4.624, 0.874, 0.890], [-1.087, -4.500, -1.228], [0.612, -1.387, 4.543]],
  "species": ["W", "W", "W", "Ti", "Y"],
  "fractional_positions": [[0.500, 0.000, 0.000], [0.000, 0.500, 0.000], [0.000, 0.000, 0.500], [0.500, 0.500, 0.500], [0.000, 0.000, 0.000]]
}